[1]
Material: La2In3Cu
Method: DFT, PBE-GGA
State: optimized geometry

Output
- relative energy among the computed polymorphs (eV/atom) = 0.000
- E_form (eV/atom) = -0.44
- total moment (μB per cell) = 0.00

Cell lengths 3.9148, 4.8702, 8.4812 Å; angles 90.00, 90.00, 90.00 degrees
Closest atoms and distances in Å follow each position.
Space group Pmm2 (No. 25)
Inequivalent atoms, fractional coordinates:
1 La 0.0000 0.0000 0.0000 [1 per cell]  2 Cu 3.32, 10 In 3.44-3.65
2 La 0.0000 0.5000 0.4800 [1 per cell]  8 In 3.29-3.51, 4 Cu 3.42
3 In 0.5000 0.0000 0.6367 [1 per cell]  1 Cu 2.72, 2 In 2.90
4 In 0.5000 0.5000 0.1685 [1 per cell]  2 Cu 2.74, 1 In 2.93
5 In 0.5000 0.5000 0.8233 [1 per cell]  3 In 2.90-2.93
6 Cu 0.5000 0.0000 0.3159 [1 per cell]  3 In 2.72-2.74

=====

[2]
Material: La3In7Cu2
Method: DFT, PBE-GGA
State: optimized geometry

Output
- E_form (eV/atom) = -0.40
- total moment (μB per cell) = 0.00

Cell lengths 4.6782, 4.6359, 14.4858 Å; angles 90.00, 99.21, 90.00 degrees
Closest atoms and distances in Å follow each position.
Space group P2/m (No. 10)
Inequivalent atoms, fractional coordinates:
1 La 0.0000 0.0000 0.0000 [1 per cell]  12 In 3.29-3.41
2 La 0.3168 0.5000 0.6338 [2 per cell]  10 In 3.47-3.63, 4 Cu 3.59-3.61
3 In 0.0854 0.5000 0.1730 [2 per cell]  2 Cu 2.66
4 In 0.2220 0.0000 0.4437 [2 per cell]  1 Cu 2.57, 2 In 2.84
5 In 0.4147 0.0000 0.8267 [2 per cell]  2 Cu 2.67-2.68
6 In 0.5000 0.5000 0.0000 [1 per cell]  4 La 3.29, 8 In 3.39-3.41
7 Cu 0.1299 0.0000 0.2642 [2 per cell]  5 In 2.57-2.68

=====

[3]
Material: LaInCu2
Method: DFT, PBE-GGA
State: optimized geometry

Output
- E_form (eV/atom) = -0.04
- total moment (μB per cell) = 0.00

Cell lengths 3.3457, 3.5142, 7.0452 Å; angles 90.00, 90.23, 90.00 degrees
Closest atoms and distances in Å follow each position.
Space group P2/m (No. 10)
Inequivalent atoms, fractional coordinates:
1 La 0.0000 0.0000 0.0000 [1 per cell]  8 Cu 3.17-3.18, 4 La 3.35-3.51, 2 In 3.52
2 In 0.0000 0.0000 0.5000 [1 per cell]  8 Cu 2.83-2.84
3 Cu 0.4993 0.5000 0.7093 [2 per cell]  4 In 2.83-2.84, 1 Cu 2.95, 2 La 3.17

=====

[4]
Material: LaIn4Cu4
Method: DFT, PBE-GGA
State: optimized geometry

Output
- E_form (eV/atom) = -0.02
- total moment (μB per cell) = 0.00

Cell lengths 8.7740, 8.7740, 5.2288 Å; angles 90.00, 90.00, 90.00 degrees
Closest atoms and distances in Å follow each position.
Space group P4_2/n (No. 86, origin choice 2)
Inequivalent atoms, fractional coordinates:
1 La 0.2500 0.2500 0.2500 [2 per cell]  4 Cu 3.19
2 In 0.1070 0.6289 0.1443 [8 per cell]  5 Cu 2.66-2.76
3 Cu 0.0680 0.5847 0.6443 [8 per cell]  1 Cu 2.43, 4 In 2.66-2.67